Entry 1:
DFT (GGA-PBE) results for Cs5Au2OF after structural relaxation.

Calculated values
Formation energy from raw total energies = -1.0501 eV/atom
SG = Cmc2_1
Calculated volume = 733 Å³ per cell

Unit cell a=4.6517 b=10.4523 c=15.4573 alpha=90.00 beta=90.00 gamma=102.86
Element x y z (fractional)
Cs 0.6645 0.3289 0.8924
Cs 0.0493 0.0985 0.0466
Cs 0.3355 0.6711 0.3924
Cs 0.7166 0.4332 0.1402
Cs 0.2834 0.5668 0.6402
Cs 0.6104 0.2207 0.4944
Cs 0.3896 0.7793 0.9944
Cs 0.9507 0.9015 0.5466
Cs 0.4904 0.9809 0.7841
Cs 0.5096 0.0191 0.2841
O 0.5255 0.0509 0.9488
O 0.4745 0.9491 0.4488
Au 0.1125 0.2249 0.6867
Au 0.8470 0.6940 0.8084
Au 0.1530 0.3060 0.3084
Au 0.8875 0.7751 0.1867
F 0.1957 0.3914 0.0225
F 0.8043 0.6086 0.5225

Entry 2:
DFT (GGA-PBE) results for CsAuO2F after structural relaxation.

Calculated values
Formation energy from raw total energies = -0.6857 eV/atom
SG = P4/mmm
Calculated volume = 92 Å³ per cell
DOS at the Fermi energy = 3.6 states/eV/cell

Unit cell a=4.0383 b=4.0383 c=5.6580 alpha=90.00 beta=90.00 gamma=90.00
Site moments in Bohr magnetons follow the coordinates.
Element x y z (fractional)
F 0.0000 0.0000 0.5000  0.01
Au 0.0000 0.0000 0.0000  0.33
Cs 0.5000 0.5000 0.5000  0.01
O 0.0000 0.5000 0.0000  0.43
O 0.5000 0.0000 0.0000  0.43

Entry 3:
DFT (GGA-PBE) results for Cs6Au2OF2 after structural relaxation.

Calculated values
Formation energy from raw total energies = -1.3370 eV/atom
SG = C2/m
Calculated volume = 436 Å³ per cell

Unit cell a=7.7076 b=7.7076 c=8.8796 alpha=98.47 beta=98.47 gamma=120.11
Site moments in Bohr magnetons follow the coordinates.
Element x y z (fractional)
Au 0.1722 0.8278 0.0000  0.00
Au 0.8278 0.1722 0.0000  0.00
Cs 0.6155 0.9399 0.3088  0.00
Cs 0.3845 0.0601 0.6912  0.00
Cs 0.2467 0.2467 0.3109  0.00
Cs 0.9399 0.6155 0.3088  0.00
Cs 0.7533 0.7533 0.6891  0.00
Cs 0.0601 0.3845 0.6912  0.00
F 0.6688 0.3312 0.5000  0.00
F 0.3312 0.6688 0.5000  0.00
O 0.0000 0.0000 0.5000  0.11

Entry 4:
DFT (GGA-PBE) results for Cs8Au3O2F after structural relaxation.

Calculated values
Formation energy from raw total energies = -0.9029 eV/atom
SG = P-3m1
Calculated volume = 632 Å³ per cell

Unit cell a=8.2944 b=8.2944 c=10.6032 alpha=90.00 beta=90.00 gamma=120.00
Site moments in Bohr magnetons follow the coordinates.
Element x y z (fractional)
Cs 0.8335 0.6670 0.6842  0.00
Cs 0.8335 0.1665 0.6842  0.00
Cs 0.3330 0.1665 0.6842  0.00
Cs 0.6667 0.3333 0.0459  0.01
Cs 0.1665 0.3330 0.3158  0.00
Cs 0.6670 0.8335 0.3158  0.00
Cs 0.1665 0.8335 0.3158  0.00
Cs 0.3333 0.6667 0.9541  0.01
Au 0.0000 0.0000 0.0000  0.00
Au 0.6667 0.3333 0.3934  0.00
Au 0.3333 0.6667 0.6066  0.00
O 0.6667 0.3333 0.8059  0.09
O 0.3333 0.6667 0.1941  0.09
F 0.0000 0.0000 0.5000  0.00

Entry 5:
DFT (GGA-PBE) results for Cs8AuO2F after structural relaxation.

Calculated values
Formation energy from raw total energies = -0.9484 eV/atom
SG = P-3m1
Calculated volume = 665 Å³ per cell
DOS at the Fermi energy = 3.3 states/eV/cell

Unit cell a=8.7557 b=8.7557 c=10.0210 alpha=90.00 beta=90.00 gamma=120.00
Element x y z (fractional)
Cs 0.1644 0.8356 0.8010
Cs 0.1644 0.3289 0.8010
Cs 0.6711 0.8356 0.8010
Cs 0.8356 0.6711 0.1990
Cs 0.3289 0.1644 0.1990
Cs 0.3333 0.6667 0.4521
Cs 0.8356 0.1644 0.1990
Cs 0.6667 0.3333 0.5479
F 0.0000 0.0000 0.0000
O 0.3333 0.6667 0.7095
O 0.6667 0.3333 0.2905
Au 0.0000 0.0000 0.5000

Entry 6:
DFT (GGA-PBE) results for Cs2PAuF6 after structural relaxation.

Calculated values
Formation energy from raw total energies = -2.2303 eV/atom
SG = I4/mmm
Calculated volume = 236 Å³ per cell
DOS at the Fermi energy = 0.0 states/eV/cell

Unit cell a=6.9453 b=6.9453 c=6.9359 alpha=59.96 beta=59.96 gamma=90.00
Element x y z (fractional)
F 0.3329 0.6671 0.0000
F 0.6671 0.3329 0.0000
F 0.6671 0.6671 0.0000
F 0.3329 0.3329 0.0000
F 0.3323 0.3323 0.3355
F 0.6677 0.6677 0.6645
Au 0.0000 0.0000 0.0000
Cs 0.7500 0.2500 0.5000
Cs 0.2500 0.7500 0.5000
P 0.5000 0.5000 0.0000

Q: Among the records above, which one has the lowest formation energy from raw total energies?
A: Cs2PAuF6

Q: Which value of formation energy from raw total energies does entry 2 give?
A: -0.6857 eV/atom